# 1
## Sr2LiPt (PBE)

Data for a geometry-optimized Sr2LiPt structure.

abc: 5.354 7.566 16.053
angles: 90.00 90.00 90.00
Element x y z (fractional)
Li: 0.000 0.500 0.000
Li: 0.499 0.000 0.167
Li: 0.999 0.500 0.333
Li: 0.500 0.000 0.500
Li: 0.001 0.500 0.667
Li: 0.501 0.000 0.833
Pt: 0.000 0.000 0.000
Pt: 0.500 0.500 0.167
Pt: 0.000 0.000 0.333
Pt: 0.500 0.500 0.500
Pt: 0.000 0.000 0.667
Pt: 0.500 0.500 0.833
Sr: 0.500 0.250 0.000
Sr: 0.500 0.750 0.000
Sr: 0.000 0.250 0.167
Sr: 0.000 0.750 0.167
Sr: 0.500 0.250 0.333
Sr: 0.500 0.750 0.333
Sr: 0.000 0.250 0.500
Sr: 0.000 0.750 0.500
Sr: 0.500 0.250 0.667
Sr: 0.500 0.750 0.667
Sr: 0.000 0.250 0.833
Sr: 0.000 0.750 0.833

ΔE to the lowest computed polymorph in eV per atom: 0.112
VASP energy in eV/atom: -3.231

---

# 2
## TbTlTe3Pd (PBE)

Data for a geometry-optimized TbTlTe3Pd structure.

abc: 8.556 8.556 10.595
angles: 90.00 90.00 151.38
Element x y z (fractional)
Pd: 0.487 0.513 0.250
Pd: 0.513 0.487 0.750
Tb: 0.000 0.000 0.000
Tb: 0.000 0.000 0.500
Te: 0.372 0.628 0.074
Te: 0.091 0.909 0.250
Te: 0.372 0.628 0.426
Te: 0.628 0.372 0.574
Te: 0.909 0.091 0.750
Te: 0.628 0.372 0.926
Tl: 0.757 0.243 0.250
Tl: 0.243 0.757 0.750

ΔE to the lowest computed polymorph in eV per atom: 0.000
VASP energy in eV/atom: -4.340